No. 1
Be6Pt5Rh, optimized geometry, DFT GGA-PBE; calculated total energy = -0.4249 Ry per atom; V = 11.367 A^3/atom; magnetization = 0.00 μB/f.u.
1.0
3.921 0.002 -0.817
-0.002 5.666 -0.001
-0.729 0.000 6.293
Be Rh Pt
6 1 5
Direct
0.836 0.754 0.672 Be
0.836 0.246 0.672 Be
0.500 0.243 0.000 Be
0.500 0.757 0.000 Be
0.164 0.754 0.328 Be
0.164 0.246 0.328 Be
0.000 0.000 0.000 Rh
0.667 0.500 0.334 Pt
0.333 0.000 0.667 Pt
0.000 0.500 0.000 Pt
0.667 0.000 0.333 Pt
0.333 0.500 0.666 Pt



No. 2
BePtRh3, optimized geometry, DFT GGA-PBE; calculated total energy = -0.4497 Ry per atom; polymorph energy (0 for the lowest one) = 0 meV/atom; V = 13.947 A^3/atom; magnetization = 1.70 μB/f.u.
1.0
-1.367 3.772 -0.922
-1.516 -1.418 -3.554
-3.574 -0.841 1.860
Be Rh Pt
1 3 1
Direct
0.000 0.000 0.000 Be
0.000 0.500 0.000 Rh
0.000 0.000 0.500 Rh
0.500 0.000 0.000 Rh
0.500 0.500 0.500 Pt



No. 3
Be2PtRh, optimized geometry, DFT GGA-PBE; calculated total energy = -0.4404 Ry per atom; V = 11.088 A^3/atom; magnetization = 0.00 μB/f.u.
1.0
3.973 0.000 0.000
1.987 3.441 0.000
1.987 1.147 3.244
Be Rh Pt
2 1 1
Direct
0.500 0.500 0.500 Be
0.000 0.000 0.000 Be
0.250 0.250 0.250 Rh
0.750 0.750 0.750 Pt



No. 4
Be2PtRh, optimized geometry, DFT GGA-PBE; calculated total energy = -0.3902 Ry per atom; V = 12.503 A^3/atom; magnetization = 0.00 μB/f.u.
1.0
4.136 0.000 0.000
2.068 3.581 0.000
2.068 1.194 3.377
Be Rh Pt
2 1 1
Direct
0.000 0.000 0.000 Be
0.250 0.250 0.250 Be
0.750 0.750 0.750 Rh
0.500 0.500 0.500 Pt



No. 5
Be2PtRh, optimized geometry, DFT GGA-PBE; calculated total energy = -0.3995 Ry per atom; V = 12.306 A^3/atom; magnetization = 0.00 μB/f.u.
1.0
5.990 0.000 0.000
0.000 5.990 0.000
2.995 2.995 2.744
Be Rh Pt
4 2 2
Direct
0.622 0.125 0.250 Be
0.128 0.625 0.250 Be
0.375 0.378 0.750 Be
0.875 0.872 0.750 Be
0.500 0.500 0.000 Rh
0.250 0.750 0.500 Rh
0.000 0.000 0.000 Pt
0.750 0.250 0.500 Pt



No. 6
Be3PtRh, optimized geometry, DFT GGA-PBE; calculated total energy = -0.3404 Ry per atom; polymorph energy (0 for the lowest one) = 0 meV/atom; V = 14.119 A^3/atom; magnetization = 0.00 μB/f.u.
1.0
-2.894 -0.725 2.861
2.947 -0.501 2.854
-0.154 4.038 0.867
Be Rh Pt
3 1 1
Direct
0.000 0.500 0.000 Be
0.000 0.000 0.500 Be
0.500 0.000 0.000 Be
0.500 0.500 0.500 Rh
0.000 0.000 0.000 Pt



| no. | formation energy from the elements (eV per atom) |
| --- | --- |
| 1 | -0.79 |
| 2 | 0.25 |
| 3 | -0.78 |
| 4 | -0.10 |
| 5 | -0.22 |
| 6 | 0.28 |